No. 1
This record from Alexandria via LeMat-Bulk describes a relaxed ScRe2W crystal. The functional is PBE-GGA.

Properties
The value obtained for the calculated density is 15.42 Mg/m³. The crystal system is orthorhombic.

Cell and atoms, written as POSCAR:
```
ScRe2W
1.0
-5.200 -0.346 1.130
-2.825 -3.884 -2.317
4.150 1.137 3.150
Sc Re W
1 2 1
direct
0.501 0.501 0.000 Sc
0.760 0.260 0.500 Re
0.999 0.999 0.000 Re
0.239 0.739 0.500 W
```

No. 2
This record from Alexandria via LeMat-Bulk describes a relaxed ScRe2W crystal. The functional is PBE-GGA.

Properties
The value obtained for the calculated density is 15.24 Mg/m³. The crystal system is orthorhombic.

Cell and atoms, written as POSCAR:
```
ScRe2W
1.0
-2.272 -0.016 -1.576
1.894 -1.726 -1.039
-3.439 -6.798 5.025
W Sc Re
1 1 2
direct
0.500 0.500 0.764 W
0.000 0.000 0.494 Sc
0.000 0.000 0.004 Re
0.500 0.500 0.239 Re
```

No. 3
This record from Alexandria via LeMat-Bulk describes a relaxed ScRe2W crystal. The functional is PBE-GGA.

Properties
The value obtained for the calculated density is 15.51 Mg/m³. The crystal system is monoclinic.

Cell and atoms, written as POSCAR:
```
ScRe2W
1.0
4.449 0.000 0.000
0.000 2.779 -0.003
0.000 0.850 5.206
W Re Sc
1 2 1
direct
0.500 0.750 0.750 W
0.000 0.520 0.500 Re
0.000 0.980 0.000 Re
0.500 0.250 0.250 Sc
```

No. 4
This record from Alexandria via LeMat-Bulk describes a relaxed ScRe2W crystal. The functional is PBE-GGA.

Properties
The value obtained for the calculated density is 15.53 Mg/m³. The crystal system is monoclinic.

Cell and atoms, written as POSCAR:
```
ScRe2W
1.0
5.240 0.000 -0.002
-2.278 4.720 -0.002
0.520 0.829 2.598
Re Sc W
2 1 1
direct
0.500 0.500 0.000 Re
0.000 0.000 0.000 Re
0.500 0.000 0.500 Sc
0.000 0.500 0.500 W
```

No. 5
This record from Alexandria via LeMat-Bulk describes a relaxed ScRe2W crystal. The functional is PBE-GGA.

Properties
The value obtained for the calculated density is 15.51 Mg/m³. The crystal system is monoclinic.

Cell and atoms, written as POSCAR:
```
ScRe2W
1.0
-4.369 -0.506 0.920
-0.246 -1.768 -2.140
1.025 -4.560 2.357
Re W Sc
2 1 1
direct
0.000 0.994 0.999 Re
0.500 0.237 0.252 Re
0.500 0.771 0.752 W
0.000 0.497 0.497 Sc
```

No. 6
This record from Alexandria via LeMat-Bulk describes a relaxed ScRe2W crystal. The functional is PBE-GGA.

Properties
The value obtained for the calculated density is 15.17 Mg/m³. The crystal system is orthorhombic.

Cell and atoms, written as POSCAR:
```
ScRe2W
1.0
2.807 0.000 0.000
0.000 4.436 0.000
0.000 0.000 5.283
W Re Sc
1 2 1
direct
0.500 0.500 0.763 W
0.500 0.500 0.260 Re
0.000 0.000 0.990 Re
0.000 0.000 0.488 Sc
```

No. 7
This record from Alexandria via LeMat-Bulk describes a relaxed ScRe2W crystal. The functional is PBE-GGA.

Properties
The value obtained for the calculated density is 13.81 Mg/m³. The crystal system is tetragonal.

Cell and atoms, written as POSCAR:
```
ScRe2W
1.0
-3.218 2.502 -6.048
-0.828 -6.841 -2.390
-4.442 -2.307 -2.989
Re W Sc
4 2 2
direct
0.654 0.125 0.250 Re
0.375 0.346 0.750 Re
0.096 0.625 0.250 Re
0.875 0.904 0.750 Re
0.000 0.000 0.000 W
0.750 0.250 0.500 W
0.250 0.750 0.500 Sc
0.500 0.500 0.000 Sc
```

No. 8
This record from Alexandria via LeMat-Bulk describes a relaxed ScRe2W crystal. The functional is PBE-GGA.

Properties
The value obtained for the calculated density is 15.35 Mg/m³. The crystal system is orthorhombic.

Cell and atoms, written as POSCAR:
```
ScRe2W
1.0
2.769 0.001 0.000
-0.972 2.593 0.000
0.000 0.000 9.054
Re W Sc
2 1 1
direct
0.000 0.000 0.991 Re
0.000 0.000 0.509 Re
0.500 0.500 0.750 W
0.500 0.500 0.250 Sc
```

No. 9
This record from Alexandria via LeMat-Bulk describes a relaxed ScRe2W crystal. The functional is PBE-GGA.

Properties
The value obtained for the calculated density is 15.67 Mg/m³. The crystal system is cubic.

Cell and atoms, written as POSCAR:
```
ScRe2W
1.0
-0.529 -2.905 -3.373
3.325 -2.803 -1.086
-0.393 -4.382 0.857
Sc Re W
1 2 1
direct
0.500 0.500 0.500 Sc
0.250 0.250 0.250 Re
0.000 0.000 0.000 Re
0.750 0.750 0.750 W
```

No. 10
This record from Alexandria via LeMat-Bulk describes a relaxed ScRe2W crystal. The functional is PBE-GGA.

Properties
The value obtained for the calculated density is 15.18 Mg/m³. The crystal system is trigonal.

Cell and atoms, written as POSCAR:
```
ScRe2W
1.0
-7.634 -2.339 -4.612
-5.679 -3.717 -6.240
-6.730 -4.982 -3.860
Sc Re W
1 2 1
direct
0.250 0.250 0.250 Sc
0.004 0.004 0.004 Re
0.496 0.496 0.496 Re
0.750 0.750 0.750 W
```

No. 11
This record from Alexandria via LeMat-Bulk describes a relaxed ScRe2W crystal. The functional is PBE-GGA.

Properties
The value obtained for the calculated density is 15.20 Mg/m³. The crystal system is tetragonal.

Cell and atoms, written as POSCAR:
```
ScRe2W
1.0
-1.128 2.434 -1.653
0.450 -1.607 -2.673
-6.101 -2.502 0.478
Re W Sc
2 1 1
direct
0.000 0.000 0.002 Re
0.500 0.500 0.231 Re
0.500 0.500 0.769 W
0.000 0.000 0.498 Sc
```

No. 12
This record from Alexandria via LeMat-Bulk describes a relaxed ScRe4W crystal. The functional is PBE-GGA.

Properties
The value obtained for the calculated density is 16.23 Mg/m³. The crystal system is cubic.

Cell and atoms, written as POSCAR:
```
ScRe4W
1.0
0.000 3.680 3.680
3.680 0.000 3.680
3.680 3.680 0.000
W Sc Re
1 1 4
direct
0.000 0.000 0.000 W
0.750 0.750 0.750 Sc
0.376 0.376 0.873 Re
0.376 0.376 0.376 Re
0.873 0.376 0.376 Re
0.376 0.873 0.376 Re
```

No. 13
This record from Alexandria via LeMat-Bulk describes a relaxed ScRe2W crystal. The functional is PBE-GGA.

Properties
The value obtained for the calculated density is 15.45 Mg/m³. The crystal system is orthorhombic.

Cell and atoms, written as POSCAR:
```
ScRe2W
1.0
5.261 0.006 0.000
2.315 4.724 0.000
-3.269 -3.197 2.602
Re W Sc
2 1 1
direct
0.010 0.010 0.000 Re
0.490 0.490 0.000 Re
0.250 0.750 0.500 W
0.750 0.250 0.500 Sc
```

No. 14
This record from Alexandria via LeMat-Bulk describes a relaxed Sc3ReW crystal. The functional is PBE-GGA.

Properties
The value obtained for the calculated density is 7.13 Mg/m³. Its energy above the most stable polymorph in this dataset is 0.00 eV/f.u. The crystal system is cubic.

Cell and atoms, written as POSCAR:
```
Sc3ReW
1.0
4.900 0.000 0.000
0.000 4.900 0.000
0.000 0.000 4.900
Re Sc W
1 3 1
direct
0.000 0.000 0.000 Re
0.500 0.000 0.000 Sc
0.000 0.500 0.000 Sc
0.000 0.000 0.500 Sc
0.500 0.500 0.500 W
```

No. 15
This record from Alexandria via LeMat-Bulk describes a relaxed ScRe2W crystal. The functional is PBE-GGA.

Properties
The value obtained for the calculated density is 15.56 Mg/m³. The crystal system is orthorhombic.

Cell and atoms, written as POSCAR:
```
ScRe2W
1.0
3.154 0.000 0.000
0.000 4.577 0.000
0.000 0.000 4.446
Re W Sc
2 1 1
direct
0.500 0.500 0.000 Re
0.000 0.000 0.000 Re
0.000 0.500 0.500 W
0.500 0.000 0.500 Sc
```

No. 16
This record from Alexandria via LeMat-Bulk describes a relaxed ScRe2W crystal. The functional is PBE-GGA.

Properties
The value obtained for the calculated density is 15.53 Mg/m³. The crystal system is tetragonal.

Cell and atoms, written as POSCAR:
```
ScRe2W
1.0
-0.311 -3.690 -2.563
3.756 1.197 -2.179
1.736 -1.610 2.108
Re Sc W
2 1 1
direct
0.000 0.000 0.000 Re
0.500 0.500 0.000 Re
0.500 0.000 0.500 Sc
0.000 0.500 0.500 W
```

No. 17
This record from Alexandria via LeMat-Bulk describes a relaxed ScRe2W crystal. The functional is PBE-GGA.

Properties
The value obtained for the calculated density is 15.01 Mg/m³. The crystal system is trigonal.

Cell and atoms, written as POSCAR:
```
ScRe2W
1.0
-9.493 0.387 0.085
-9.165 -2.354 0.851
-9.063 -0.290 2.835
Re Sc W
2 1 1
direct
0.255 0.255 0.255 Re
0.997 0.997 0.997 Re
0.501 0.501 0.501 Sc
0.746 0.746 0.746 W
```

No. 18
This record from Alexandria via LeMat-Bulk describes a relaxed YScRe crystal. The functional is PBE-GGA.

Properties
The value obtained for the calculated density is 7.37 Mg/m³. Its energy above the most stable polymorph in this dataset is 1.00 eV/f.u. The crystal system is cubic.

Cell and atoms, written as POSCAR:
```
YScRe
1.0
4.672 0.000 0.000
2.336 4.046 0.000
2.336 1.349 3.815
Re Sc Y
1 1 1
direct
0.750 0.750 0.750 Re
0.000 0.000 0.000 Sc
0.500 0.500 0.500 Y
```

No. 19
This record from Alexandria via LeMat-Bulk describes a relaxed YScRe crystal. The functional is PBE-GGA.

Properties
The value obtained for the calculated density is 7.36 Mg/m³. Its energy above the most stable polymorph in this dataset is 3.61 eV/f.u. The crystal system is cubic.

Cell and atoms, written as POSCAR:
```
YScRe
1.0
4.674 0.000 0.000
2.337 4.048 0.000
2.337 1.349 3.816
Re Y Sc
1 1 1
direct
0.000 0.000 0.000 Re
0.750 0.750 0.750 Y
0.500 0.500 0.500 Sc
```

No. 20
This record from Alexandria via LeMat-Bulk describes a relaxed YSc4Re crystal. The functional is PBE-GGA.

Properties
The value obtained for the calculated density is 5.61 Mg/m³. The crystal system is cubic.

Cell and atoms, written as POSCAR:
```
YSc4Re
1.0
0.000 4.068 4.068
4.068 0.000 4.068
4.068 4.068 0.000
Sc Y Re
4 1 1
direct
0.373 0.373 0.373 Sc
0.373 0.373 0.880 Sc
0.373 0.880 0.373 Sc
0.880 0.373 0.373 Sc
0.750 0.750 0.750 Y
0.000 0.000 0.000 Re
```

No. 21
This record from Alexandria via LeMat-Bulk describes a relaxed YScRe4 crystal. The functional is PBE-GGA.

Properties
The value obtained for the calculated density is 13.43 Mg/m³. The crystal system is cubic.

Cell and atoms, written as POSCAR:
```
YScRe4
1.0
5.357 0.000 0.000
2.678 4.639 0.000
2.678 1.546 4.374
Y Re Sc
1 4 1
direct
0.000 0.000 0.000 Y
0.625 0.625 0.625 Re
0.625 0.126 0.625 Re
0.126 0.625 0.625 Re
0.625 0.625 0.126 Re
0.250 0.250 0.250 Sc
```

No. 22
This record from Alexandria via LeMat-Bulk describes a relaxed Y4ScRe crystal. The functional is PBE-GGA.

Properties
The value obtained for the calculated density is 6.13 Mg/m³. The crystal system is cubic.

Cell and atoms, written as POSCAR:
```
Y4ScRe
1.0
0.000 4.299 4.299
4.299 0.000 4.299
4.299 4.299 0.000
Y Sc Re
4 1 1
direct
0.376 0.376 0.871 Y
0.871 0.376 0.376 Y
0.376 0.871 0.376 Y
0.376 0.376 0.376 Y
0.000 0.000 0.000 Sc
0.750 0.750 0.750 Re
```

No. 23
This record from Alexandria via LeMat-Bulk describes a relaxed YScRe crystal. The functional is PBE-GGA.

Properties
The value obtained for the calculated density is 8.02 Mg/m³. Its energy above the most stable polymorph in this dataset is 0.00 eV/f.u. The crystal system is monoclinic.

Cell and atoms, written as POSCAR:
```
YScRe
1.0
-3.471 -0.330 4.994
-2.236 -1.362 -5.358
2.239 -8.095 1.211
Y Re Sc
4 4 4
direct
0.067 0.281 0.593 Y
0.714 0.281 0.907 Y
0.286 0.719 0.093 Y
0.933 0.719 0.407 Y
0.173 0.203 0.943 Re
0.827 0.797 0.057 Re
0.529 0.203 0.557 Re
0.471 0.797 0.443 Re
0.602 0.704 0.750 Sc
0.828 0.156 0.250 Sc
0.398 0.296 0.250 Sc
0.172 0.844 0.750 Sc
```

No. 24
This record from Alexandria via LeMat-Bulk describes a relaxed YScRe crystal. The functional is PBE-GGA.

Properties
The value obtained for the calculated density is 7.81 Mg/m³. Its energy above the most stable polymorph in this dataset is 0.15 eV/f.u. The crystal system is tetragonal.

Cell and atoms, written as POSCAR:
```
YScRe
1.0
6.373 -0.034 0.037
5.487 3.242 0.037
0.886 0.239 3.268
Y Sc Re
1 1 1
direct
0.638 0.638 0.362 Y
0.371 0.371 0.629 Sc
0.991 0.991 0.009 Re
```

No. 25
This record from Alexandria via LeMat-Bulk describes a relaxed YScRe crystal. The functional is PBE-GGA.

Properties
The value obtained for the calculated density is 7.74 Mg/m³. Its energy above the most stable polymorph in this dataset is 0.97 eV/f.u. The crystal system is trigonal.

Cell and atoms, written as POSCAR:
```
YScRe
1.0
3.320 0.000 0.000
-1.660 2.875 0.000
0.000 0.000 7.199
Re Sc Y
1 1 1
direct
0.000 0.000 0.011 Re
0.667 0.333 0.276 Sc
0.333 0.667 0.714 Y
```

No. 26
This record from Alexandria via LeMat-Bulk describes a relaxed YScRe crystal. The functional is PBE-GGA.

Properties
The value obtained for the calculated density is 8.61 Mg/m³. Its energy above the most stable polymorph in this dataset is 0.89 eV/f.u. The crystal system is orthorhombic.

Cell and atoms, written as POSCAR:
```
YScRe
1.0
-3.577 3.625 -0.505
-1.985 0.055 -4.717
0.627 -2.657 4.329
Sc Re Y
1 1 1
direct
0.332 0.332 0.000 Sc
0.003 0.003 0.000 Re
0.665 0.665 0.000 Y
```

No. 27
This record from Alexandria via LeMat-Bulk describes a relaxed YScRe3 crystal. The functional is PBE-GGA.

Properties
The value obtained for the calculated density is 11.06 Mg/m³. Its energy above the most stable polymorph in this dataset is 0.00 eV/f.u. The crystal system is cubic.

Cell and atoms, written as POSCAR:
```
YScRe3
1.0
-3.052 -0.284 -3.565
-0.112 -4.677 0.469
-3.575 0.389 3.029
Sc Re Y
1 3 1
direct
0.000 0.000 0.000 Sc
0.000 0.000 0.500 Re
0.500 0.000 0.000 Re
0.000 0.500 0.000 Re
0.500 0.500 0.500 Y
```

No. 28
This record from Alexandria via LeMat-Bulk describes a relaxed YScRe crystal. The functional is PBE-GGA.

Properties
The value obtained for the calculated density is 8.43 Mg/m³. Its energy above the most stable polymorph in this dataset is 0.57 eV/f.u. The crystal system is trigonal.

Cell and atoms, written as POSCAR:
```
YScRe
1.0
4.770 0.000 0.000
-2.385 4.131 0.000
0.000 0.000 3.197
Y Sc Re
1 1 1
direct
0.333 0.667 0.679 Y
0.667 0.333 0.242 Sc
0.000 0.000 0.080 Re
```

No. 29
This record from Alexandria via LeMat-Bulk describes a relaxed YSc2Re2 crystal. The functional is PBE-GGA.

Properties
The value obtained for the calculated density is 9.13 Mg/m³. The crystal system is tetragonal.

Cell and atoms, written as POSCAR:
```
YSc2Re2
1.0
8.202 0.000 0.000
0.000 8.202 0.000
0.000 0.000 2.982
Sc Re Y
4 4 2
direct
0.362 0.138 0.500 Sc
0.862 0.362 0.500 Sc
0.638 0.862 0.500 Sc
0.138 0.638 0.500 Sc
0.841 0.659 0.000 Re
0.659 0.159 0.000 Re
0.159 0.341 0.000 Re
0.341 0.841 0.000 Re
0.500 0.500 0.000 Y
0.000 0.000 0.000 Y
```

| no. | E_form (eV per formula unit) | uncorrected energy (eV per atom) | density of states at the Fermi level (states/eV per atom) |
| --- | --- | --- | --- |
| 1 | -0.3 | -11.1099 | 0.60 |
| 2 | 0.7 | -10.8777 | 1.01 |
| 3 | 0.0 | -11.0436 | 0.51 |
| 4 | 0.0 | -11.0347 | 0.53 |
| 5 | 0.0 | -11.0499 | 0.49 |
| 6 | 1.0 | -10.7913 | 0.91 |
| 7 | 2.8 | -10.3550 | 0.70 |
| 8 | 0.2 | -10.9904 | 1.05 |
| 9 | 0.0 | -11.0462 | 0.53 |
| 10 | 0.9 | -10.8289 | 0.84 |
| 11 | 0.3 | -10.9707 | 0.69 |
| 12 | 0.2 | -11.4805 | 1.17 |
| 13 | 0.0 | -11.0357 | 0.62 |
| 14 | 5.7 | -7.7490 | 1.41 |
| 15 | 0.2 | -10.9859 | 0.52 |
| 16 | -0.3 | -11.1153 | 0.75 |
| 17 | 0.9 | -10.8222 | 0.47 |
| 18 | 1.0 | -8.0713 | 0.96 |
| 19 | 3.6 | -7.2006 | 1.42 |
| 20 | 3.3 | -6.8265 | 1.56 |
| 21 | -1.4 | -10.6694 | 0.72 |
| 22 | 5.3 | -6.5566 | 1.48 |
| 23 | 0.0 | -8.4039 | 0.77 |
| 24 | 0.2 | -8.3528 | 1.20 |
| 25 | 1.0 | -8.0820 | 1.04 |
| 26 | 0.9 | -8.1088 | 1.14 |
| 27 | 8.5 | -8.3185 | 1.40 |
| 28 | 0.6 | -8.2138 | 0.99 |
| 29 | 1.0 | -8.6066 | 0.69 |